! ThVGe2Os PBE-GGA optimized geometry; values from VASP
! Symmetry: I-4m2
! Crystal system: tetragonal
! ΔE_f: -455 meV/atom
&SYSTEM
  ibrav = 0, nat = 5, ntyp = 4
/
ATOMIC_SPECIES
Th 232.04 Th.upf
V 50.94 V.upf
Ge 72.64 Ge.upf
Os 190.23 Os.upf
CELL_PARAMETERS angstrom
-2.292 2.503 2.442
1.925 -1.535 3.380
3.911 3.316 -3.308
ATOMIC_POSITIONS crystal
Th 0.000 0.000 0.000
V 0.750 0.250 0.500
Ge 0.621 0.621 0.242
Ge 0.379 0.379 0.758
Os 0.250 0.750 0.500


! Ti8Ge2Os PBE-GGA optimized geometry; values from VASP
! Symmetry: C2/m
! Crystal system: monoclinic
! ΔE_f: -371 meV/atom
&SYSTEM
  ibrav = 0, nat = 11, ntyp = 3
/
ATOMIC_SPECIES
Ti 47.87 Ti.upf
Ge 72.64 Ge.upf
Os 190.23 Os.upf
CELL_PARAMETERS angstrom
-1.392 1.770 3.345
4.101 -3.816 3.726
3.682 5.466 -3.791
ATOMIC_POSITIONS crystal
Ti 0.416 0.553 0.831
Ti 0.672 0.923 0.344
Ti 0.821 0.733 0.643
Ti 0.967 0.198 0.933
Ti 0.179 0.267 0.357
Ti 0.328 0.077 0.656
Ti 0.584 0.447 0.169
Ti 0.033 0.802 0.067
Ge 0.809 0.329 0.619
Ge 0.191 0.671 0.381
Os 0.500 0.000 0.000


! Ti2Ge4Os PBE-GGA optimized geometry; values from VASP
! Symmetry: C2/m
! Crystal system: monoclinic
! ΔE_f: -174 meV/atom
&SYSTEM
  ibrav = 0, nat = 7, ntyp = 3
/
ATOMIC_SPECIES
Ti 47.87 Ti.upf
Ge 72.64 Ge.upf
Os 190.23 Os.upf
CELL_PARAMETERS angstrom
3.091 0.000 0.000
0.000 5.498 0.044
-1.545 -2.617 7.021
ATOMIC_POSITIONS crystal
Ti 0.759 0.762 0.518
Ti 0.241 0.238 0.482
Ge 0.885 0.231 0.770
Ge 0.115 0.769 0.230
Ge 0.606 0.334 0.212
Ge 0.394 0.666 0.788
Os 0.000 0.000 0.000


! TiGeOs3 PBE-GGA optimized geometry; values from VASP
! Symmetry: Pm-3m
! Relative energy among the computed polymorphs: 0 meV/atom
! Crystal system: cubic
! ΔE_f: 1239 meV/atom
&SYSTEM
  ibrav = 0, nat = 5, ntyp = 3
/
ATOMIC_SPECIES
Ge 72.64 Ge.upf
Os 190.23 Os.upf
Ti 47.87 Ti.upf
CELL_PARAMETERS angstrom
-1.239 0.495 4.270
3.878 -1.787 1.332
1.854 4.070 0.066
ATOMIC_POSITIONS crystal
Ge 0.000 0.000 0.000
Os 0.000 0.500 0.000
Os 0.000 0.000 0.500
Os 0.500 0.000 0.000
Ti 0.500 0.500 0.500


! Ti5Ge5Os PBE-GGA optimized geometry; values from VASP
! Symmetry: C2/m
! Crystal system: monoclinic
! ΔE_f: -55 meV/atom
&SYSTEM
  ibrav = 0, nat = 11, ntyp = 3
/
ATOMIC_SPECIES
Ti 47.87 Ti.upf
Ge 72.64 Ge.upf
Os 190.23 Os.upf
CELL_PARAMETERS angstrom
5.154 0.000 0.000
-2.577 4.915 -0.695
0.000 -2.626 8.075
ATOMIC_POSITIONS crystal
Ti 0.671 0.341 0.341
Ti 0.665 0.330 0.826
Ti 0.000 0.000 0.500
Ti 0.335 0.670 0.174
Ti 0.329 0.659 0.659
Ge 0.838 0.675 0.166
Ge 0.838 0.676 0.671
Ge 0.500 0.000 0.000
Ge 0.162 0.324 0.329
Ge 0.162 0.325 0.834
Os 0.000 0.000 0.000


! TiGeOs3 PBE-GGA optimized geometry; values from VASP
! Symmetry: Pm-3m
! Relative energy among the computed polymorphs: 615 meV/atom
! Crystal system: cubic
! ΔE_f: 1854 meV/atom
&SYSTEM
  ibrav = 0, nat = 5, ntyp = 3
/
ATOMIC_SPECIES
Ge 72.64 Ge.upf
Os 190.23 Os.upf
Ti 47.87 Ti.upf
CELL_PARAMETERS angstrom
-4.188 -1.410 1.224
1.139 -4.311 -1.067
1.479 -0.670 4.288
ATOMIC_POSITIONS crystal
Ge 0.500 0.500 0.500
Os 0.000 0.500 0.000
Os 0.000 0.000 0.500
Os 0.500 0.000 0.000
Ti 0.000 0.000 0.000


> The highest ΔE_f belongs to which entry?

number 6


> The highest ΔE_f belongs to which entry?

number 6


> Among the records above, which one has the lowest ΔE_f?

ThVGe2Os


> Among the records above, which one has the lowest ΔE_f?

ThVGe2Os